Below is CsKVF6 after structural relaxation, with properties calculated at the GGA+U level.

The structure belongs to space group P1 (No. 1); the cell edges are 5.231, 6.033 and 6.037 Å and the angles 61.11°, 89.49° and 89.51°. The asymmetric unit holds Cs at (0.000, 0.000, 0.000), K at (0.469, 0.332, 0.328), V at (0.658, 0.662, 0.659), F at (0.437, 0.807, 0.796), F at (0.466, 0.358, 0.796), F at (0.467, 0.801, 0.353), F at (0.848, 0.520, 0.966), F at (0.848, 0.967, 0.519) and F at (0.876, 0.517, 0.519).

The calculation puts the calculated total energy at -46.481 eV/cell.